Record 1
Density functional theory data (GGA-PBE) for a relaxed RbTlO2 crystal.

a b c (Å): 3.517 3.517 6.908
angles (deg): 75.25 75.25 60.00
Atoms (fractional coordinates):
Tl: 0.668 0.668 0.997
Rb: 0.497 0.497 0.509
O: 0.063 0.063 0.812
O: 0.273 0.273 0.182

Output
The value obtained for the magnetic moment is 0.000 Bohr magnetons per cell. As for the uncorrected formation energy: -3.81 eV per formula unit. As for the total energy: -17.06 eV/f.u.

***

Record 2
Density functional theory data (GGA-PBE) for a relaxed SrI2F2 crystal.

a b c (Å): 8.133 8.133 4.115
angles (deg): 90.00 90.00 90.00
Atoms (fractional coordinates):
Sr: 0.000 0.000 0.000
I: 0.117 0.383 0.000
I: 0.383 0.883 0.000
F: 0.705 0.795 0.500
F: 0.295 0.205 0.500
I: 0.883 0.617 0.000
Sr: 0.500 0.500 0.000
F: 0.205 0.705 0.500
F: 0.795 0.295 0.500
I: 0.617 0.117 0.000

Output
The value obtained for the magnetic moment is 0.000 Bohr magnetons per cell. As for the uncorrected formation energy: -6.21 eV per formula unit. As for the total energy: -14.73 eV/f.u.